First-principles (PBE) data for a geometry-optimized SbOsF8 structure, as listed in the Open Quantum Materials Database. Values from VASP.

Cell and atoms, written as Quantum ESPRESSO input:
```
&SYSTEM
  ibrav = 0, nat = 20, ntyp = 3
/
ATOMIC_SPECIES
F 19.00 F.upf
Os 190.23 Os.upf
Sb 121.76 Sb.upf
CELL_PARAMETERS angstrom
-0.185 -4.317 -3.279
4.593 -2.978 3.662
-5.012 -2.718 4.077
ATOMIC_POSITIONS crystal
F 0.110 0.250 0.009
F 0.577 0.250 0.017
F 0.668 0.545 0.251
F 0.668 0.955 0.251
F 0.176 0.542 0.254
F 0.176 0.958 0.254
F 0.568 0.250 0.476
F 0.102 0.250 0.495
F 0.898 0.750 0.505
F 0.432 0.750 0.524
F 0.824 0.042 0.746
F 0.824 0.458 0.746
F 0.332 0.045 0.749
F 0.332 0.455 0.749
F 0.423 0.750 0.983
F 0.890 0.750 0.991
Os 0.424 0.750 0.254
Os 0.576 0.250 0.746
Sb 0.931 0.250 0.248
Sb 0.069 0.750 0.752
```

Output
As for the space-group type: P2_1/m, No. 11. The crystal system is monoclinic. The calculation puts the final energy at -4.835 eV per atom.